Material: Sm2HCl3
Method: DFT, PBE
State: optimized geometry

```
12
Lattice="3.724 0.000 0.000 1.862 7.811 0.600 1.862 2.387 9.740" Properties=species:S:1:pos:R:3 pbc="T T T"
Sm 3.724 6.857 4.773
Cl 1.862 2.186 3.787
Sm 1.862 4.569 2.242
Cl 5.586 8.011 6.553
Sm 3.724 3.340 5.567
H 3.724 5.412 6.657
Cl 1.862 2.429 0.340
Cl 5.586 7.768 10.000
H 3.724 4.786 3.684
Sm 5.586 5.628 8.099
Cl 1.862 2.914 7.582
Cl 5.586 7.283 2.758
```

Total DFT energy (no corrections), eV/atom: -4.71
Space group: C2/m (12)
Magnetic moment, μB per atom: 0.000